Density functional theory data (GGA-PBEsol) for crystalline Zr3NiSb at its relaxed geometry.

The structure belongs to space group Pm-3m (No. 221); the cell edges are 5.1720, 5.1720 and 5.1720 Å and the angles 90.00°, 90.00° and 90.00°. The inequivalent atoms are Zr at (0.0000, 0.0000, 0.5000), Ni at (0.5000, 0.5000, 0.5000) and Sb at (0.0000, 0.0000, 0.0000).

As for the formation energy without anion corrections: 1158 meV per atom. The value obtained for the density of states at the Fermi level is 5.41 states/eV/f.u. Its crystal system is cubic. The calculation puts the total magnetization at 0.000 μB per atom.


Density functional theory data (GGA-PBEsol) for crystalline ScAs2Pt at its relaxed geometry.

The structure belongs to space group Pm (No. 6); the cell edges are 2.9052, 4.5818 and 5.3825 Å and the angles 90.00°, 102.78° and 90.00°. The inequivalent atoms are Sc at (0.0000, 0.0000, 0.0000), As at (0.2924, 0.0000, 0.5335), As at (0.5739, 0.5000, 0.1801) and Pt at (0.3795, 0.5000, 0.7049).

The value obtained for the density of states at the Fermi level is 2.35 states/eV/f.u. Its crystal system is monoclinic. The calculation puts the total magnetization at 0.000 μB per atom. As for the electronic total energy: -6.557 eV/atom.


Density functional theory data (GGA-PBEsol) for crystalline BaCaO2 at its relaxed geometry.

The structure belongs to space group P4/mmm (No. 123); the cell edges are 3.7085, 3.7085 and 5.2257 Å and the angles 90.00°, 90.00° and 90.00°. The inequivalent atoms are Ba at (0.0000, 0.0000, 0.0000), Ca at (0.5000, 0.5000, 0.5000), O at (0.0000, 0.0000, 0.5000) and O at (0.5000, 0.5000, 0.0000).

As for the formation energy without anion corrections: -2550 meV per atom. The value obtained for the density of states at the Fermi level is 0.00 states/eV/f.u. Its crystal system is tetragonal. The calculation puts the total magnetization at 0.000 μB per atom.


Density functional theory data (GGA-PBEsol) for crystalline Tc2RuPt at its relaxed geometry.

The structure belongs to space group P4/mmm (No. 123); the cell edges are 2.6740, 2.6740 and 7.8090 Å and the angles 90.00°, 90.00° and 90.00°. The inequivalent atoms are Tc at (0.0000, 0.0000, 0.2411), Ru at (0.5000, 0.5000, 0.0000) and Pt at (0.5000, 0.5000, 0.5000).

The value obtained for the density of states at the Fermi level is 4.20 states/eV/f.u. Its crystal system is tetragonal. The calculation puts the total magnetization at 0.000 μB per atom. As for the electronic total energy: -9.988 eV/atom.


Density functional theory data (GGA-PBEsol) for crystalline Sr4CoSb at its relaxed geometry.

The structure belongs to space group F-43m (No. 216); the cell edges are 9.3613, 9.3613 and 9.3613 Å and the angles 90.00°, 90.00° and 90.00°. The inequivalent atoms are Sr at (0.1247, 0.1247, 0.1247), Co at (0.0000, 0.0000, 0.5000) and Sb at (0.2500, 0.2500, 0.7500).

As for the formation energy without anion corrections: 724 meV per atom. The value obtained for the density of states at the Fermi level is 6.94 states/eV/f.u. Its crystal system is cubic. The calculation puts the total magnetization at 0.104 μB per atom.


Density functional theory data (GGA-PBEsol) for crystalline Zr3TiO at its relaxed geometry.

The structure belongs to space group Pm-3m (No. 221); the cell edges are 4.4286, 4.4286 and 4.4286 Å and the angles 90.00°, 90.00° and 90.00°. The inequivalent atoms are Zr at (0.0000, 0.0000, 0.5000), Ti at (0.5000, 0.5000, 0.5000) and O at (0.0000, 0.0000, 0.0000).

As for the formation energy without anion corrections: -1127 meV per atom. The value obtained for the density of states at the Fermi level is 4.27 states/eV/f.u. Its crystal system is cubic. The calculation puts the total magnetization at 0.000 μB per atom.


Density functional theory data (GGA-PBEsol) for crystalline AlPIr2 at its relaxed geometry.

The structure belongs to space group Cm (No. 8); the cell edges are 8.7225, 2.9545 and 4.3128 Å and the angles 90.00°, 103.77° and 90.00°. The inequivalent atoms are Al at (0.0000, 0.0000, 0.0000), P at (0.2547, 0.5000, 0.3532), Ir at (0.2612, 0.0000, 0.8941) and Ir at (0.4869, 0.0000, 0.4850).

The value obtained for the density of states at the Fermi level is 1.46 states/eV/f.u. Its crystal system is monoclinic. The calculation puts the total magnetization at 0.000 μB per atom. As for the electronic total energy: -7.831 eV/atom.


Density functional theory data (GGA-PBEsol) for crystalline SbTe2PtSe at its relaxed geometry.

The structure belongs to space group P4/mmm (No. 123); the cell edges are 5.2392, 5.2392 and 5.1183 Å and the angles 90.00°, 90.00° and 90.00°. The inequivalent atoms are Sb at (0.0000, 0.0000, 0.0000), Te at (0.0000, 0.5000, 0.5000), Pt at (0.0000, 0.0000, 0.5000) and Se at (0.5000, 0.5000, 0.0000).

As for the formation energy without anion corrections: 484 meV per atom. The value obtained for the density of states at the Fermi level is 5.43 states/eV/f.u. Its crystal system is tetragonal. The calculation puts the total magnetization at 0.000 μB per atom.